# HfMnP2O

Crystalline HfMnP2O at its relaxed geometry (GGA+U, Alexandria via LeMat-Bulk).

Properties
total moment: 3.7 μB/f.u.
crystal system: tetragonal
DOS(E_F): 2.98 states/eV/f.u.
total energy: -35.77 eV for the cell shown
polymorph energy (0 for the lowest one): 0.000 eV per atom

a = 5.1526 Å, b = 5.1526 Å, c = 3.9195 Å
α = 90.00°, β = 90.00°, γ = 90.00°
Last column: magnetic moment on the atom in μB.
Fractional positions:
Hf 0.0000 0.0000 0.0000  -0.03
Mn 0.5000 0.5000 0.5000  4.67
P 0.0000 0.5000 0.0000  -0.27
O 0.0000 0.0000 0.5000  -0.09
P 0.5000 0.0000 0.0000  -0.27